Computed, not measured: K4Ce3TiSe8 after structural relaxation at the GGA-PBE level of DFT.

## Properties
The formation energy (no corrections) comes out at -24.6 eV/f.u.

```
data_K4Ce3TiSe8
_symmetry_space_group_name_H-M 'R -3 m'
_symmetry_Int_Tables_number 166
_symmetry_space_group_name_Hall '-R 3 2"'
_cell_length_a 8.4744
_cell_length_b 8.4744
_cell_length_c 23.0588
_cell_angle_alpha 90.00
_cell_angle_beta 90.00
_cell_angle_gamma 120.00
loop_
_atom_site_label
_atom_site_type_symbol
_atom_site_fract_x
_atom_site_fract_y
_atom_site_fract_z
K1 K 0.0000 0.0000 0.0000
K2 K 0.0000 0.5000 0.0000
Ce1 Ce 0.0000 0.5000 0.5000
Ti1 Ti 0.0000 0.0000 0.5000
Se1 Se 0.0000 0.0000 0.2380
Se2 Se 0.0192 0.5096 0.2338
```

Computed, not measured: In2WSe after structural relaxation at the GGA-PBE level of DFT.

## Properties
The formation energy (no corrections) comes out at 2.8 eV/f.u.

```
data_In2WSe
_symmetry_space_group_name_H-M 'P m m m'
_symmetry_Int_Tables_number 47
_cell_length_a 3.163
_cell_length_b 4.980
_cell_length_c 5.186
_cell_angle_alpha 90.00
_cell_angle_beta 90.00
_cell_angle_gamma 90.00
loop_
_symmetry_equiv_pos_as_xyz
'x,y,z'
'-x,-y,-z'
'-x,-y,z'
'x,y,-z'
'x,-y,-z'
'-x,y,z'
'-x,y,-z'
'x,-y,z'
loop_
_atom_site_label
_atom_site_type_symbol
_atom_site_fract_x
_atom_site_fract_y
_atom_site_fract_z
In1 In 0.000 0.000 0.000
In2 In 0.500 0.500 0.000
W1 W 0.000 0.500 0.500
Se1 Se 0.500 0.000 0.500
```

Computed, not measured: CeDyTmPb after structural relaxation at the GGA-PBE level of DFT.

## Properties
As for the energy of formation from the pure elements: -35 meV per atom.

```
data_CeDyTmPb
_symmetry_space_group_name_H-M 'F -4 3 m'
_symmetry_Int_Tables_number 216
_symmetry_space_group_name_Hall 'F -4 2 3'
_cell_length_a 7.657
_cell_length_b 7.657
_cell_length_c 7.657
_cell_angle_alpha 90.00
_cell_angle_beta 90.00
_cell_angle_gamma 90.00
loop_
_atom_site_label
_atom_site_type_symbol
_atom_site_fract_x
_atom_site_fract_y
_atom_site_fract_z
Ce1 Ce 0.000 0.000 0.000
Dy1 Dy 0.250 0.250 0.750
Tm1 Tm 0.250 0.250 0.250
Pb1 Pb 0.000 0.000 0.500
```

Computed, not measured: PuTh2U3P6 after structural relaxation at the GGA-PBE level of DFT.

## Properties
As for the energy of formation from the pure elements: -1177 meV per atom.

```
data_PuTh2U3P6
_symmetry_space_group_name_H-M 'C 1 2/m 1'
_symmetry_Int_Tables_number 12
_cell_length_a 17.547
_cell_length_b 3.996
_cell_length_c 8.092
_cell_angle_alpha 90.00
_cell_angle_beta 103.93
_cell_angle_gamma 90.00
loop_
_symmetry_equiv_pos_as_xyz
'x,y,z'
'-x,-y,-z'
'-x,y,-z'
'x,-y,z'
'x+1/2,y+1/2,z'
'-x+1/2,-y+1/2,-z'
'-x+1/2,y+1/2,-z'
'x+1/2,-y+1/2,z'
loop_
_atom_site_label
_atom_site_type_symbol
_atom_site_fract_x
_atom_site_fract_y
_atom_site_fract_z
Pu1 Pu 0.000 0.000 0.000
Th1 Th 0.164 0.500 0.332
U1 U 0.000 0.000 0.500
U2 U 0.168 0.500 0.836
P1 P 0.005 0.500 0.749
P2 P 0.164 0.000 0.594
P3 P 0.167 0.000 0.073
```